A plane-wave DFT calculation with PBE with a Hubbard U was carried out for an optimized crystal structure of TlAsWO6.

a b c (Å): 5.1584 5.1584 6.3356
angles (deg): 90.00 90.00 120.00
Closest atoms and distances in Å follow each position.
Space group P312 (No. 149)
Unique sites:
Tl: 0.0000 0.0000 0.0000 [1 per cell]  6 O 2.91
As: 0.3333 0.6667 0.5000 [1 per cell]  6 O 1.88
W: 0.6667 0.3333 0.5000 [1 per cell]  6 O 1.96
O: 0.0118 0.3975 0.6697 [6 per cell]  1 As 1.88, 1 W 1.96

Properties
- E_tot (eV per atom) = -6.34